# 1
# HfMnGa2 | Alexandria | PBE | optimized geometry
data_HfMnGa2
_chemical_formula_sum 'Hf4 Mn4 Ga8'
_space_group_name_H-M_alt 'C 1 2/c 1'
_space_group_IT_number 15
_cell_length_a 6.6797
_cell_length_b 8.1990
_cell_length_c 5.2387
_cell_angle_alpha 90.00
_cell_angle_beta 110.04
_cell_angle_gamma 90.00
loop_
_space_group_symop_operation_xyz
'x,y,z'
'-x,-y,-z'
'-x,y,-z+1/2'
'x,-y,z+1/2'
'x+1/2,y+1/2,z'
'-x+1/2,-y+1/2,-z'
'-x+1/2,y+1/2,-z+1/2'
'x+1/2,-y+1/2,z+1/2'
loop_
_atom_site_label
_atom_site_type_symbol
_atom_site_fract_x
_atom_site_fract_y
_atom_site_fract_z
Hf1 Hf 0.0000 0.1700 0.2500
Mn1 Mn 0.0000 0.4383 0.7500
Ga1 Ga 0.2015 0.1311 0.8154
# - crystal system = monoclinic
# - calculated formation energy (eV per atom) = -0.18
# - calculated total energy (eV per cell) = -103.66
# - DOS at the Fermi energy (states/eV per cell) = 9.1



# 2
# La2ZnW | Alexandria | PBE | optimized geometry
data_La2ZnW
_chemical_formula_sum 'La4 Zn2 W2'
_space_group_name_H-M_alt 'C 1 2/m 1'
_space_group_IT_number 12
_cell_length_a 8.6848
_cell_length_b 3.1320
_cell_length_c 7.7863
_cell_angle_alpha 90.00
_cell_angle_beta 95.92
_cell_angle_gamma 90.00
loop_
_space_group_symop_operation_xyz
'x,y,z'
'-x,-y,-z'
'-x,y,-z'
'x,-y,z'
'x+1/2,y+1/2,z'
'-x+1/2,-y+1/2,-z'
'-x+1/2,y+1/2,-z'
'x+1/2,-y+1/2,z'
loop_
_atom_site_label
_atom_site_type_symbol
_atom_site_fract_x
_atom_site_fract_y
_atom_site_fract_z
La1 La 0.2472 0.0000 0.2712
Zn1 Zn 0.0000 0.5000 0.0000
W1 W 0.0000 0.0000 0.5000
# - crystal system = monoclinic
# - calculated formation energy (eV per atom) = 0.56
# - calculated total energy (eV per cell) = -43.68
# - DOS at the Fermi energy (states/eV per cell) = 9.0



# 3
# ScAlCl2 | Alexandria | PBE | optimized geometry
data_ScAlCl2
_chemical_formula_sum 'Sc2 Al2 Cl4'
_space_group_name_H-M_alt 'C m m m'
_space_group_IT_number 65
_space_group_name_Hall '-C 2 2'
_cell_length_a 3.3390
_cell_length_b 6.0043
_cell_length_c 9.6654
_cell_angle_alpha 90.00
_cell_angle_beta 90.00
_cell_angle_gamma 90.00
loop_
_atom_site_label
_atom_site_type_symbol
_atom_site_fract_x
_atom_site_fract_y
_atom_site_fract_z
Sc1 Sc 0.0000 0.0000 0.0000
Al1 Al 0.0000 0.0000 0.5000
Cl1 Cl 0.0000 0.5000 0.1969
# - crystal system = orthorhombic
# - energy above the lowest structure with this stoichiometry (meV/atom) = 189
# - calculated total energy (eV per cell) = -34.27
# - DOS at the Fermi energy (states/eV per cell) = 4.5
# - uncorrected formation energy (kJ/mol of atoms) = -81.2



calculated total energy of number 1 (HfMnGa2)?
-103.66 eV per cell